[1]
# Sn2BOs PBE optimized geometry
data_Sn2BOs
_cell_length_a 5.9271
_cell_length_b 5.9271
_cell_length_c 10.2249
_cell_angle_alpha 90.00
_cell_angle_beta 90.00
_cell_angle_gamma 90.00
_symmetry_space_group_name_H-M 'I -4 2 d'
_symmetry_Int_Tables_number 122
_symmetry_space_group_name_Hall 'I -4 2bw'
loop_
_atom_site_label
_atom_site_fract_x
_atom_site_fract_y
_atom_site_fract_z
Sn1 0.2071 0.2500 0.1250
B1 0.0000 0.0000 0.0000
Os1 0.0000 0.0000 0.5000
# * calculated formation energy: 1127 meV per atom
# * crystal system: tetragonal

=====

[2]
# VPdRh3 PBE optimized geometry
data_VPdRh3
_cell_length_a 4.4410
_cell_length_b 4.4410
_cell_length_c 4.4410
_cell_angle_alpha 90.00
_cell_angle_beta 90.00
_cell_angle_gamma 90.00
_symmetry_space_group_name_H-M 'P m -3 m'
_symmetry_Int_Tables_number 221
_symmetry_space_group_name_Hall '-P 4 2 3'
loop_
_atom_site_label
_atom_site_fract_x
_atom_site_fract_y
_atom_site_fract_z
V1 0.0000 0.0000 0.0000
Pd1 0.5000 0.5000 0.5000
Rh1 0.0000 0.0000 0.5000
# * polymorph energy (0 for the lowest one): 0.9026 eV per atom
# * calculated formation energy: 743 meV per atom
# * crystal system: cubic

=====

[3]
# PtBrOF2 PBE optimized geometry
data_PtBrOF2
_cell_length_a 4.4705
_cell_length_b 4.4705
_cell_length_c 3.7716
_cell_angle_alpha 90.00
_cell_angle_beta 90.00
_cell_angle_gamma 90.00
_symmetry_space_group_name_H-M 'P 4/m m m'
_symmetry_Int_Tables_number 123
_symmetry_space_group_name_Hall '-P 4 2'
loop_
_atom_site_label
_atom_site_fract_x
_atom_site_fract_y
_atom_site_fract_z
Pt1 0.0000 0.0000 0.0000
Br1 0.5000 0.5000 0.5000
O1 0.0000 0.0000 0.5000
F1 0.0000 0.5000 0.0000
# * polymorph energy (0 for the lowest one): 0.0000 eV per atom
# * crystal system: tetragonal
# * raw formation energy: -233 meV/atom

=====

Copy entry 2 word for word.
# VPdRh3 PBE optimized geometry
data_VPdRh3
_cell_length_a 4.4410
_cell_length_b 4.4410
_cell_length_c 4.4410
_cell_angle_alpha 90.00
_cell_angle_beta 90.00
_cell_angle_gamma 90.00
_symmetry_space_group_name_H-M 'P m -3 m'
_symmetry_Int_Tables_number 221
_symmetry_space_group_name_Hall '-P 4 2 3'
loop_
_atom_site_label
_atom_site_fract_x
_atom_site_fract_y
_atom_site_fract_z
V1 0.0000 0.0000 0.0000
Pd1 0.5000 0.5000 0.5000
Rh1 0.0000 0.0000 0.5000
# * polymorph energy (0 for the lowest one): 0.9026 eV per atom
# * calculated formation energy: 743 meV per atom
# * crystal system: cubic